Entry 1:
Density functional theory data (PBE) for crystalline CaPm6Tm12 at its relaxed geometry.

The structure in POSCAR format:
```
CaPm6Tm12
1.0
-8.620 3.347 -0.324
-0.355 -8.528 -3.571
2.102 -0.986 8.957
Tm Pm Ca
12 6 1
Direct
0.663 0.900 0.663
0.113 0.500 0.887
0.663 0.663 0.900
0.500 0.887 0.113
0.900 0.663 0.663
0.100 0.337 0.337
0.887 0.113 0.500
0.887 0.500 0.113
0.337 0.100 0.337
0.113 0.887 0.500
0.337 0.337 0.100
0.500 0.113 0.887
0.312 0.312 0.706
0.688 0.688 0.294
0.706 0.312 0.312
0.312 0.706 0.312
0.294 0.688 0.688
0.688 0.294 0.688
0.000 0.000 0.000
```

Values from the calculation:
The volume comes out at 668.39 Å³/cell. The electronic total energy comes out at -3.9772 eV per atom. Its space group is R-3m, No. 166. Its density of states at the Fermi level is 1.5072 states/eV per atom.

Entry 2:
Density functional theory data (PBE) for crystalline CaPm6YTm2 at its relaxed geometry.

The structure in POSCAR format:
```
CaPm6YTm2
1.0
9.351 -2.076 -2.155
0.746 8.691 -2.105
0.746 -2.426 8.607
Pm Tm Ca Y
12 4 2 2
Direct
0.551 0.763 0.115
0.123 0.711 0.501
0.623 0.501 0.711
0.949 0.885 0.237
0.177 0.567 0.029
0.877 0.289 0.499
0.051 0.115 0.763
0.449 0.237 0.885
0.377 0.499 0.289
0.823 0.433 0.971
0.323 0.971 0.433
0.677 0.029 0.567
0.543 0.196 0.300
0.457 0.804 0.700
0.043 0.300 0.196
0.957 0.700 0.804
0.250 0.402 0.598
0.750 0.598 0.402
0.250 0.974 0.026
0.750 0.026 0.974
```

Values from the calculation:
The volume comes out at 686.23 Å³/cell. The electronic total energy comes out at -4.4552 eV per atom. Its space group is C2/c, No. 15. Its density of states at the Fermi level is 1.4971 states/eV per atom.

Entry 3:
Density functional theory data (PBE) for crystalline CaPm6Y2Tm3 at its relaxed geometry.

The structure in POSCAR format:
```
CaPm6Y2Tm3
1.0
6.267 0.000 0.011
-3.132 5.429 0.011
-1.059 -1.834 11.668
Pm Tm Y Ca
6 3 2 1
Direct
0.425 0.086 0.255
0.914 0.575 0.745
0.575 0.914 0.745
0.747 0.747 0.256
0.253 0.253 0.744
0.086 0.425 0.255
0.166 0.834 0.500
0.834 0.166 0.500
0.500 0.500 0.500
0.333 0.667 0.000
0.667 0.333 0.000
0.000 0.000 0.000
```

Values from the calculation:
The volume comes out at 397.22 Å³/cell. The electronic total energy comes out at -4.7018 eV per atom. Its space group is C2/m, No. 12. Its density of states at the Fermi level is 1.1454 states/eV per atom.

Let's list formation enthalpy at 0 K in order: 8.60; 1.36; 0.43 eV/f.u..